No. 1
BaLaIn4 | the Alexandria database | PBE-GGA | optimized geometry; raw total energy = -20.36 eV/cell; magnetic moment = 0.00 μB/f.u.; N(E_F) = 2.535 states/eV/f.u.
1.0
0.0000 4.4514 4.4514
4.4514 0.0000 4.4514
4.4514 4.4514 0.0000
Ba La In
1 1 4
direct
0.0000 0.0000 0.0000 Ba
0.2500 0.2500 0.2500 La
0.1262 0.6246 0.6246 In
0.6246 0.1262 0.6246 In
0.6246 0.6246 0.1262 In
0.6246 0.6246 0.6246 In

---

No. 2
BaLa2In | the Alexandria database | PBE-GGA | optimized geometry; raw total energy = -15.07 eV/cell; magnetic moment = 0.00 μB/f.u.; N(E_F) = 4.724 states/eV/f.u.
1.0
6.0946 -1.9217 0.0000
6.0946 1.9217 0.0000
-1.2471 0.0000 6.1897
Ba La In
1 2 1
direct
0.0000 0.0000 0.0000 Ba
0.2329 0.2329 0.7111 La
0.7671 0.7671 0.2889 La
0.5000 0.5000 0.5000 In

---

No. 3
BaLaIn2 | the Alexandria database | PBE-GGA | optimized geometry; raw total energy = -13.05 eV/cell; magnetic moment = 0.00 μB/f.u.; N(E_F) = 5.001 states/eV/f.u.
1.0
5.7737 0.0000 0.0000
0.0000 3.9950 0.0000
-2.6454 0.0000 6.4879
Ba La In
1 1 2
direct
0.0000 0.0000 0.0000 Ba
0.5000 0.5000 0.5000 La
0.0000 0.0000 0.5000 In
0.5000 0.5000 0.0000 In

---

No. 4
BaLa2In | the Alexandria database | PBE-GGA | optimized geometry; raw total energy = -14.68 eV/cell; magnetic moment = 0.48 μB/f.u.; N(E_F) = 6.095 states/eV/f.u.
1.0
1.9798 1.1431 11.8254
-1.9798 1.1431 11.8254
0.0000 -2.2861 11.8254
Ba La In
1 2 1
direct
0.0000 0.0000 0.0000 Ba
0.2354 0.2354 0.2354 La
0.7646 0.7646 0.7646 La
0.5000 0.5000 0.5000 In

---

No. 5
BaLa2In | the Alexandria database | PBE-GGA | optimized geometry; raw total energy = -14.77 eV/cell; magnetic moment = 0.00 μB/f.u.; N(E_F) = 5.289 states/eV/f.u.
1.0
4.0552 0.0000 0.0000
0.0000 5.9701 0.0000
0.0000 0.0000 6.0032
Ba La In
1 2 1
direct
0.0000 0.0000 0.0000 Ba
0.0000 0.5000 0.5000 La
0.5000 0.5000 0.0000 La
0.5000 0.0000 0.5000 In

---

No. 6
BaLaIn2 | the Alexandria database | PBE-GGA | optimized geometry; raw total energy = -13.93 eV/cell; magnetic moment = 0.00 μB/f.u.; N(E_F) = 3.412 states/eV/f.u.
1.0
4.0084 0.0000 0.0000
0.0000 5.5560 0.0000
0.0000 0.0000 6.0168
Ba La In
1 1 2
direct
0.0000 0.0000 0.0000 Ba
0.0000 0.5000 0.4026 La
0.5000 0.0000 0.5075 In
0.5000 0.5000 0.8635 In